Entry 1:
Compound: ZrRhSe2N
Source: the Alexandria database
Functional: meta-GGA SCAN
Structure: PBEsol geometry

```
ZrRhSe2N
1.0
4.998 0.000 0.000
0.000 4.998 0.000
0.000 0.000 3.590
Zr Rh Se N
1 1 2 1
Direct
0.000 0.000 0.000 Zr
0.500 0.500 0.500 Rh
0.000 0.500 0.500 Se
0.500 0.000 0.500 Se
0.500 0.500 0.000 N
```

VASP energy = -22.83 eV/atom



Entry 2:
Compound: AlCrP2O
Source: the Alexandria database
Functional: meta-GGA SCAN
Structure: PBEsol geometry

```
AlCrP2O
1.0
4.607 0.000 0.000
0.000 4.607 0.000
0.000 0.000 3.433
Al Cr P O
1 1 2 1
Direct
0.000 0.000 0.000 Al
0.500 0.500 0.500 Cr
0.000 0.500 0.500 P
0.500 0.000 0.500 P
0.500 0.500 0.000 O
```

VASP energy = -10.88 eV/atom



Entry 3:
Compound: TaPHCl2
Source: the Alexandria database
Functional: meta-GGA SCAN
Structure: PBEsol geometry

```
TaPHCl2
1.0
4.802 0.000 0.000
0.000 4.802 0.000
0.000 0.000 4.799
Ta P H Cl
1 1 1 2
Direct
0.000 0.000 0.000 Ta
0.000 0.000 0.500 P
0.500 0.500 0.500 H
0.000 0.500 0.000 Cl
0.500 0.000 0.000 Cl
```

VASP energy = -19.18 eV/atom



Entry 4:
Compound: SrPbSeN2
Source: the Alexandria database
Functional: meta-GGA SCAN
Structure: PBEsol geometry

```
SrPbSeN2
1.0
4.681 0.000 0.000
0.000 4.681 0.000
0.000 0.000 5.885
Sr Pb Se N
1 1 1 2
Direct
0.000 0.000 0.000 Sr
0.500 0.500 0.500 Pb
0.000 0.000 0.500 Se
0.000 0.500 0.000 N
0.500 0.000 0.000 N
```

VASP energy = -26.44 eV/atom



| no. | calculated density (Mg/m³) |
| --- | --- |
| 1 | 6.78 |
| 2 | 3.58 |
| 3 | 4.26 |
| 4 | 5.18 |